w:
VASP calculation (PBE-GGA) on a relaxed structure of TmBePt.

a = 4.420 Å, b = 4.420 Å, c = 4.420 Å
α = 60.00°, β = 60.00°, γ = 60.00°
Atoms (fractional coordinates):
Tm  0.750  0.750  0.750
Pt  0.000  0.000  0.000
Be  0.250  0.250  0.250

Properties
symmetry	F-43m, No. 216
total magnetic moment	0.0	μB/f.u.

=====

x:
VASP calculation (PBE-GGA) on a relaxed structure of TmBePt.

a = 4.238 Å, b = 4.238 Å, c = 4.238 Å
α = 60.00°, β = 60.00°, γ = 60.00°
Atoms (fractional coordinates):
Tm  0.750  0.750  0.750
Be  0.000  0.000  0.000
Pt  0.250  0.250  0.250

Properties
symmetry	F-43m, No. 216
total magnetic moment	0.0	μB/f.u.

=====

Order from most stable to least stable according to the calculation: w, x

=====

w:
VASP calculation (PBE-GGA) on a relaxed structure of UBePt.

a = 4.478 Å, b = 4.478 Å, c = 4.478 Å
α = 60.00°, β = 60.00°, γ = 60.00°
Atoms (fractional coordinates):
Be  0.250  0.250  0.250
Pt  0.000  0.000  0.000
U  0.750  0.750  0.750

Properties
symmetry	F-43m, No. 216
total magnetic moment	2.4	μB/f.u.

=====

x:
VASP calculation (PBE-GGA) on a relaxed structure of UBePt.

a = 4.517 Å, b = 4.517 Å, c = 4.517 Å
α = 60.00°, β = 60.00°, γ = 60.00°
Atoms (fractional coordinates):
Be  0.250  0.250  0.250
U  0.000  0.000  0.000
Pt  0.750  0.750  0.750

Properties
symmetry	F-43m, No. 216
total magnetic moment	2.0	μB/f.u.

=====

y:
VASP calculation (PBE-GGA) on a relaxed structure of UBePt.

a = 4.223 Å, b = 4.223 Å, c = 4.223 Å
α = 60.00°, β = 60.00°, γ = 60.00°
Atoms (fractional coordinates):
Pt  0.250  0.250  0.250
U  0.750  0.750  0.750
Be  0.000  0.000  0.000

Properties
symmetry	F-43m, No. 216
total magnetic moment	0.1	μB/f.u.

=====

Order from most stable to least stable according to the calculation: y, w, x

=====

w:
VASP calculation (PBE-GGA) on a relaxed structure of YBePt.

a = 4.474 Å, b = 4.474 Å, c = 4.474 Å
α = 60.00°, β = 60.00°, γ = 60.00°
Atoms (fractional coordinates):
Be  0.250  0.250  0.250
Y  0.750  0.750  0.750
Pt  0.000  0.000  0.000

Properties
symmetry	F-43m, No. 216
total magnetic moment	0.0	μB/f.u.

=====

x:
VASP calculation (PBE-GGA) on a relaxed structure of YBePt.

a = 4.564 Å, b = 4.564 Å, c = 4.564 Å
α = 60.00°, β = 60.00°, γ = 60.00°
Atoms (fractional coordinates):
Pt  0.750  0.750  0.750
Be  0.250  0.250  0.250
Y  0.000  0.000  0.000

Properties
symmetry	F-43m, No. 216
total magnetic moment	0.0	μB/f.u.

=====

Order from most stable to least stable according to the calculation: w, x

=====

w:
VASP calculation (PBE-GGA) on a relaxed structure of BeZnPt.

a = 3.859 Å, b = 3.859 Å, c = 3.859 Å
α = 60.00°, β = 60.00°, γ = 60.00°
Atoms (fractional coordinates):
Be  0.000  0.000  0.000
Pt  0.250  0.250  0.250
Zn  0.750  0.750  0.750

Properties
symmetry	F-43m, No. 216
total magnetic moment	0.0	μB/f.u.

=====

x:
VASP calculation (PBE-GGA) on a relaxed structure of BeZnPt.

a = 4.035 Å, b = 4.035 Å, c = 4.035 Å
α = 60.00°, β = 60.00°, γ = 60.00°
Atoms (fractional coordinates):
Zn  0.750  0.750  0.750
Pt  0.000  0.000  0.000
Be  0.250  0.250  0.250

Properties
symmetry	F-43m, No. 216
total magnetic moment	0.0	μB/f.u.

=====

Order from most stable to least stable according to the calculation: w, x

=====

w:
VASP calculation (PBE-GGA) on a relaxed structure of ZrBePt.

a = 4.304 Å, b = 4.304 Å, c = 4.304 Å
α = 60.00°, β = 60.00°, γ = 60.00°
Atoms (fractional coordinates):
Be  0.250  0.250  0.250
Pt  0.000  0.000  0.000
Zr  0.750  0.750  0.750

Properties
symmetry	F-43m, No. 216
total magnetic moment	0.8	μB/f.u.

=====

x:
VASP calculation (PBE-GGA) on a relaxed structure of ZrBePt.

a = 6.435 Å, b = 3.884 Å, c = 7.321 Å
α = 90.00°, β = 90.00°, γ = 90.00°
Atoms (fractional coordinates):
Be  0.709  0.250  0.613
Pt  0.837  0.250  0.931
Pt  0.163  0.750  0.069
Be  0.791  0.750  0.113
Pt  0.663  0.750  0.431
Be  0.209  0.250  0.887
Zr  0.486  0.250  0.187
Zr  0.014  0.750  0.687
Zr  0.986  0.250  0.313
Be  0.291  0.750  0.387
Zr  0.514  0.750  0.813
Pt  0.337  0.250  0.569

Properties
symmetry	Pnma, No. 62
total magnetic moment	0.0	μB/f.u.

=====

Order from most stable to least stable according to the calculation: x, w

=====

w:
VASP calculation (PBE-GGA) on a relaxed structure of PuScBe.

a = 4.399 Å, b = 4.399 Å, c = 4.399 Å
α = 60.00°, β = 60.00°, γ = 60.00°
Atoms (fractional coordinates):
Sc  0.750  0.750  0.750
Pu  0.250  0.250  0.250
Be  0.000  0.000  0.000

Properties
symmetry	F-43m, No. 216
total magnetic moment	6.1	μB/f.u.

=====

x:
VASP calculation (PBE-GGA) on a relaxed structure of PuScBe.

a = 4.374 Å, b = 4.374 Å, c = 4.374 Å
α = 60.00°, β = 60.00°, γ = 60.00°
Atoms (fractional coordinates):
Sc  0.750  0.750  0.750
Pu  0.000  0.000  0.000
Be  0.250  0.250  0.250

Properties
symmetry	F-43m, No. 216
total magnetic moment	5.6	μB/f.u.

=====

Order from most stable to least stable according to the calculation: w, x

=====

w:
VASP calculation (PBE-GGA) on a relaxed structure of PuBeTe.

a = 4.496 Å, b = 4.496 Å, c = 4.496 Å
α = 60.00°, β = 60.00°, γ = 60.00°
Atoms (fractional coordinates):
Te  0.750  0.750  0.750
Be  0.000  0.000  0.000
Pu  0.250  0.250  0.250

Properties
symmetry	F-43m, No. 216
total magnetic moment	5.7	μB/f.u.

=====

x:
VASP calculation (PBE-GGA) on a relaxed structure of PuBeTe.

a = 4.819 Å, b = 4.819 Å, c = 4.819 Å
α = 60.00°, β = 60.00°, γ = 60.00°
Atoms (fractional coordinates):
Pu  0.000  0.000  0.000
Te  0.250  0.250  0.250
Be  0.500  0.500  0.500

Properties
symmetry	F-43m, No. 216
total magnetic moment	6.3	μB/f.u.

=====

Order from most stable to least stable according to the calculation: w, x

=====

w:
VASP calculation (PBE-GGA) on a relaxed structure of PuBeW.

a = 4.122 Å, b = 4.122 Å, c = 4.122 Å
α = 60.00°, β = 60.00°, γ = 60.00°
Atoms (fractional coordinates):
Be  0.000  0.000  0.000
W  0.750  0.750  0.750
Pu  0.250  0.250  0.250

Properties
symmetry	F-43m, No. 216
total magnetic moment	4.2	μB/f.u.

=====

x:
VASP calculation (PBE-GGA) on a relaxed structure of PuBeW.

a = 4.300 Å, b = 4.300 Å, c = 4.300 Å
α = 60.00°, β = 60.00°, γ = 60.00°
Atoms (fractional coordinates):
Pu  0.000  0.000  0.000
Be  0.250  0.250  0.250
W  0.750  0.750  0.750

Properties
symmetry	F-43m, No. 216
total magnetic moment	3.9	μB/f.u.

=====

Order from most stable to least stable according to the calculation: w, x

=====

w:
VASP calculation (PBE-GGA) on a relaxed structure of RbBeTc.

a = 4.548 Å, b = 4.548 Å, c = 4.548 Å
α = 60.00°, β = 60.00°, γ = 60.00°
Atoms (fractional coordinates):
Rb  0.250  0.250  0.250
Be  0.000  0.000  0.000
Tc  0.750  0.750  0.750

Properties
symmetry	F-43m, No. 216
total magnetic moment	2.1	μB/f.u.

=====

x:
VASP calculation (PBE-GGA) on a relaxed structure of RbBeTc.

a = 4.657 Å, b = 4.657 Å, c = 4.657 Å
α = 60.00°, β = 60.00°, γ = 60.00°
Atoms (fractional coordinates):
Be  0.250  0.250  0.250
Tc  0.000  0.000  0.000
Rb  0.750  0.750  0.750

Properties
symmetry	F-43m, No. 216
total magnetic moment	2.0	μB/f.u.

=====

y:
VASP calculation (PBE-GGA) on a relaxed structure of RbBeTc.

a = 5.045 Å, b = 5.045 Å, c = 5.045 Å
α = 60.00°, β = 60.00°, γ = 60.00°
Atoms (fractional coordinates):
Tc  0.750  0.750  0.750
Rb  0.000  0.000  0.000
Be  0.250  0.250  0.250

Properties
symmetry	F-43m, No. 216
total magnetic moment	3.4	μB/f.u.

=====

Order from most stable to least stable according to the calculation: w, x, y

=====

w:
VASP calculation (PBE-GGA) on a relaxed structure of RbBeW.

a = 4.789 Å, b = 4.789 Å, c = 4.789 Å
α = 60.00°, β = 60.00°, γ = 60.00°
Atoms (fractional coordinates):
W  0.750  0.750  0.750
Rb  0.250  0.250  0.250
Be  0.000  0.000  0.000

Properties
symmetry	F-43m, No. 216
total magnetic moment	3.3	μB/f.u.

=====

x:
VASP calculation (PBE-GGA) on a relaxed structure of RbBeW.

a = 4.777 Å, b = 4.777 Å, c = 4.777 Å
α = 60.00°, β = 60.00°, γ = 60.00°
Atoms (fractional coordinates):
Rb  0.750  0.750  0.750
Be  0.250  0.250  0.250
W  0.000  0.000  0.000

Properties
symmetry	F-43m, No. 216
total magnetic moment	3.0	μB/f.u.

=====

Order from most stable to least stable according to the calculation: w, x

=====

w:
VASP calculation (PBE-GGA) on a relaxed structure of RbBeZn.

a = 5.113 Å, b = 5.113 Å, c = 5.113 Å
α = 60.00°, β = 60.00°, γ = 60.00°
Atoms (fractional coordinates):
Zn  0.750  0.750  0.750
Rb  0.250  0.250  0.250
Be  0.000  0.000  0.000

Properties
symmetry	F-43m, No. 216

=====

x:
VASP calculation (PBE-GGA) on a relaxed structure of RbBeZn.

a = 5.545 Å, b = 5.545 Å, c = 5.545 Å
α = 60.00°, β = 60.00°, γ = 60.00°
Atoms (fractional coordinates):
Be  0.250  0.250  0.250
Zn  0.750  0.750  0.750
Rb  0.000  0.000  0.000

Properties
symmetry	F-43m, No. 216

=====

Order from most stable to least stable according to the calculation: w, x

=====

w:
VASP calculation (PBE-GGA) on a relaxed structure of RbZrBe.

a = 4.951 Å, b = 4.951 Å, c = 4.951 Å
α = 60.00°, β = 60.00°, γ = 60.00°
Atoms (fractional coordinates):
Be  0.000  0.000  0.000
Rb  0.250  0.250  0.250
Zr  0.750  0.750  0.750

Properties
symmetry	F-43m, No. 216
total magnetic moment	0.7	μB/f.u.

=====

x:
VASP calculation (PBE-GGA) on a relaxed structure of RbZrBe.

a = 4.765 Å, b = 4.765 Å, c = 4.765 Å
α = 60.00°, β = 60.00°, γ = 60.00°
Atoms (fractional coordinates):
Rb  0.000  0.000  0.000
Zr  0.750  0.750  0.750
Be  0.250  0.250  0.250

Properties
symmetry	F-43m, No. 216
total magnetic moment	0.0	μB/f.u.

=====

Order from most stable to least stable according to the calculation: w, x

=====

w:
VASP calculation (PBE-GGA) on a relaxed structure of Be2Re.

a = 7.277 Å, b = 7.277 Å, c = 7.277 Å
α = 60.00°, β = 60.00°, γ = 60.00°
Atoms (fractional coordinates):
Be  0.625  0.125  0.125
Be  0.125  0.125  0.625
Re  0.000  0.000  0.000
Be  0.125  0.125  0.125
Re  0.250  0.250  0.250
Be  0.125  0.625  0.125

Properties
symmetry	Fd-3m, No. 227
total magnetic moment	0.6	μB/f.u.

=====

x:
VASP calculation (PBE-GGA) on a relaxed structure of Be2Re.

a = 4.368 Å, b = 4.368 Å, c = 4.368 Å
α = 60.00°, β = 60.00°, γ = 60.00°
Atoms (fractional coordinates):
Be  0.625  0.625  0.125
Be  0.625  0.625  0.625
Re  0.250  0.250  0.250
Be  0.625  0.125  0.625
Re  0.000  0.000  0.000
Be  0.125  0.625  0.625

Properties
symmetry	Fd-3m, No. 227
total magnetic moment	0.0	μB/f.u.

=====

Order from most stable to least stable according to the calculation: x, w

=====

w:
VASP calculation (PBE-GGA) on a relaxed structure of BeRe.

a = 3.196 Å, b = 3.196 Å, c = 3.196 Å
α = 60.00°, β = 60.00°, γ = 60.00°
Atoms (fractional coordinates):
Re  0.500  0.500  0.500
Be  0.000  0.000  0.000

Properties
symmetry	Fm-3m, No. 225
total magnetic moment	0.0	μB/f.u.

=====

x:
VASP calculation (PBE-GGA) on a relaxed structure of BeRe.

a = 2.681 Å, b = 2.681 Å, c = 3.958 Å
α = 90.00°, β = 90.00°, γ = 120.00°
Atoms (fractional coordinates):
Re  0.333  0.667  0.250
Be  0.667  0.333  0.750

Properties
symmetry	P-6m2, No. 187
total magnetic moment	0.0	μB/f.u.

=====

y:
VASP calculation (PBE-GGA) on a relaxed structure of BeRe.

a = 3.494 Å, b = 3.494 Å, c = 3.494 Å
α = 60.00°, β = 60.00°, γ = 60.00°
Atoms (fractional coordinates):
Be  0.000  0.000  0.000
Re  0.250  0.250  0.250

Properties
symmetry	F-43m, No. 216
total magnetic moment	0.0	μB/f.u.

=====

Order from most stable to least stable according to the calculation: x, w, y